Entry 1:
The following is a meta-GGA SCAN calculation of ScAs2Os at its PBEsol-relaxed geometry, from Alexandria via LeMat-Bulk.

## Properties
E above lowest polymorph   0.00 kJ/mol of atoms
DFT formation energy   -0.53 eV/atom

Lattice parameters (Å, degrees): 5.757 5.757 5.757 39.37 39.37 39.37
Element x y z (fractional)
Sc 0.000 0.000 0.000
As 0.238 0.238 0.238
As 0.762 0.762 0.762
Os 0.500 0.500 0.500

---

Entry 2:
The following is a meta-GGA SCAN calculation of KTe3Ru at its PBEsol-relaxed geometry, from Alexandria via LeMat-Bulk.

## Properties
Formation energy from raw total energies   38.836 kcal/mol of atoms

Lattice parameters (Å, degrees): 5.684 5.684 5.684 90.00 90.00 90.00
Element x y z (fractional)
K 0.000 0.000 0.000
Te 0.000 0.000 0.500
Te 0.000 0.500 0.000
Te 0.500 0.000 0.000
Ru 0.500 0.500 0.500

---

Entry 3:
The following is a meta-GGA SCAN calculation of NbRh3Pb at its PBEsol-relaxed geometry, from Alexandria via LeMat-Bulk.

## Properties
DFT formation energy   1.61 eV/atom

Lattice parameters (Å, degrees): 4.782 4.782 4.782 90.00 90.00 90.00
Element x y z (fractional)
Nb 0.000 0.000 0.000
Rh 0.000 0.500 0.500
Rh 0.500 0.000 0.500
Rh 0.500 0.500 0.000
Pb 0.500 0.500 0.500

---

Entry 4:
The following is a meta-GGA SCAN calculation of Li3Mn4VO8 at its PBEsol-relaxed geometry, from Alexandria via LeMat-Bulk.

## Properties
Formation energy from raw total energies   -51.309 kcal/mol of atoms

Lattice parameters (Å, degrees): 5.903 5.903 5.760 117.87 117.87 57.45
Element x y z (fractional)
Li 0.000 0.000 0.000
Li 0.000 0.500 0.000
Li 0.500 0.000 0.000
Mn 0.000 0.000 0.500
Mn 0.000 0.500 0.500
Mn 0.500 0.000 0.500
Mn 0.500 0.500 0.000
V 0.500 0.500 0.500
O 0.236 0.739 0.241
O 0.257 0.257 0.738
O 0.261 0.764 0.759
O 0.265 0.265 0.286
O 0.735 0.735 0.714
O 0.739 0.236 0.241
O 0.743 0.743 0.262
O 0.764 0.261 0.759